Material: La3Sm4Ho4
Method: DFT, PBE-GGA
State: relaxed

The structure in extended XYZ format:
```
11
Lattice="-1.8553 5.3402 1.1913 -3.8406 -3.5058 -4.2753 -5.7454 -3.8522 8.3201" Properties=species:S:1:pos:R:3 pbc="T T T"
Ho -1.4801 2.5733 0.1694
Ho -4.8832 0.5542 3.9201
Ho -2.7691 -1.3524 1.7495
Ho -5.0130 -2.8569 4.9989
Sm -7.4771 0.0995 1.9184
Sm -7.7963 -0.7635 5.2900
Sm -5.2755 1.9080 -2.7595
Sm -4.5367 1.4220 0.5696
La -5.5765 -1.7956 -0.6356
La -2.4106 -0.4225 -1.8602
La -8.0174 -3.4322 2.8991
```

Properties
Uncorrected energy: -50.3 eV per cell
Symmetry: No. 38
Relative energy among the computed polymorphs: 14.6 meV per atom
ΔH_f (0 K): 162 kJ/mol of formula units